This record from Alexandria describes a relaxed BaAcOsO6 crystal. The functional is PBE.

Calculated values
- mass density (g cm⁻³) = 6.49
- total DFT energy (no corrections) (eV/atom) = -7.286

a b c (Å): 5.9407 5.9407 5.4489
angles (deg): 90.00 90.00 120.00
With the nearest neighbours (Å) after each atom.
Space group P312 (No. 149)
Inequivalent atoms, fractional coordinates:
Ba (0.0000, 0.0000, 0.0000) [1 per cell]  6 O 2.76
Ac (0.3333, 0.6667, 0.5000) [1 per cell]  6 O 2.45
Os (0.6667, 0.3333, 0.5000) [1 per cell]  6 O 1.92
O (0.4025, 0.0661, 0.6996) [6 per cell]  1 Os 1.92



This record from Alexandria describes a relaxed Ba2AcOs3O12 crystal. The functional is PBE.

Calculated values
- mass density (g cm⁻³) = 7.93
- total DFT energy (no corrections) (eV/atom) = -7.402

a b c (Å): 7.4206 7.4206 16.6522
angles (deg): 90.00 90.00 120.00
With the nearest neighbours (Å) after each atom.
Space group R-3m (No. 166, hexagonal axes)
Inequivalent atoms, fractional coordinates:
Ba (0.0000, 0.0000, 0.1112) [6 per cell]  3 O 2.60
Ac (0.0000, 0.0000, 0.5000) [3 per cell]  6 O 2.63
Os (0.0000, 0.5000, 0.0000) [9 per cell]  6 O 1.88-1.98
O (0.0491, 0.5245, 0.8889) [18 per cell]  1 Os 1.88
O (0.0732, 0.5366, 0.3124) [18 per cell]  2 Os 1.98



This record from Alexandria describes a relaxed BaAc2OsO8 crystal. The functional is PBE.

Calculated values
- mass density (g cm⁻³) = 8.06
- total DFT energy (no corrections) (eV/atom) = -7.304

a b c (Å): 4.8393 5.3622 7.5102
angles (deg): 89.59 74.12 89.06
With the nearest neighbours (Å) after each atom.
Space group P-1 (No. 2)
Inequivalent atoms, fractional coordinates:
Ba (0.0000, 0.0000, 0.0000) [1 per cell]  8 O 2.86-3.09
Ac (0.3897, 0.5031, 0.2826) [2 per cell]  3 O 2.40-2.67
Os (0.0000, 0.0000, 0.5000) [1 per cell]  6 O 1.87-1.96
O (0.1595, 0.2699, 0.6031) [2 per cell]  1 Os 1.92
O (0.1993, 0.7711, 0.6086) [2 per cell]  1 Os 1.87
O (0.2378, 0.4963, 0.0041) [2 per cell]  2 O 2.32-2.52, 2 Ac 2.40
O (0.3147, 0.0034, 0.2721) [2 per cell]  1 Os 1.96



This record from Alexandria describes a relaxed Ba2AcOsO6 crystal. The functional is PBE.

Calculated values
- mass density (g cm⁻³) = 7.60
- total DFT energy (no corrections) (eV/atom) = -7.213

a b c (Å): 6.0727 8.7846 6.4529
angles (deg): 90.00 90.00 90.00
With the nearest neighbours (Å) after each atom.
Space group Pmmn (No. 59, origin choice 2)
Inequivalent atoms, fractional coordinates:
Ba (0.2500, 0.0182, 0.2107) [4 per cell]  9 O 2.80-3.07
Ac (0.2500, 0.2500, 0.7176) [2 per cell]  6 O 2.42-2.46
Os (0.2500, 0.7500, 0.7740) [2 per cell]  6 O 1.97-2.01
O (0.0148, 0.7500, 0.5634) [4 per cell]  1 Os 1.97
O (0.0186, 0.7500, 0.9970) [4 per cell]  1 Os 2.01
O (0.2500, 0.5234, 0.7813) [4 per cell]  1 Os 1.99



This record from Alexandria describes a relaxed BaAcP2O8 crystal. The functional is PBE.

Calculated values
- mass density (g cm⁻³) = 4.19
- total DFT energy (no corrections) (eV/atom) = -7.373

a b c (Å): 5.5837 5.5837 8.1439
angles (deg): 90.00 90.00 120.00
With the nearest neighbours (Å) after each atom.
Space group P-3 (No. 147)
Inequivalent atoms, fractional coordinates:
Ba (0.0000, 0.0000, 0.0000) [1 per cell]  12 O 2.92-3.23
Ac (0.0000, 0.0000, 0.5000) [1 per cell]  6 O 2.47
P (0.3333, 0.6667, 0.7772) [2 per cell]  4 O 1.55
O (0.1779, 0.3643, 0.7134) [6 per cell]  1 P 1.55
O (0.3333, 0.6667, 0.9671) [2 per cell]  1 P 1.55



This record from Alexandria describes a relaxed Ba2AcPaO6 crystal. The functional is PBE.

Calculated values
- mass density (g cm⁻³) = 7.30
- total DFT energy (no corrections) (eV/atom) = -7.990

a b c (Å): 6.3955 6.4796 11.0902
angles (deg): 90.00 124.93 90.00
With the nearest neighbours (Å) after each atom.
Space group P2_1/c (No. 14)
Inequivalent atoms, fractional coordinates:
Ba (0.2402, 0.0348, 0.2507) [4 per cell]  5 O 2.70-3.01
Ac (0.5000, 0.0000, 0.0000) [2 per cell]  6 O 2.50-2.52
Pa (0.0000, 0.0000, 0.5000) [2 per cell]  6 O 2.20-2.22
O (0.1366, 0.2261, 0.9445) [4 per cell]  1 Pa 2.22
O (0.2254, 0.6939, 0.9519) [4 per cell]  1 Pa 2.20
O (0.3273, 0.0350, 0.7322) [4 per cell]  1 Pa 2.21



This record from Alexandria describes a relaxed BaAcPa2O8 crystal. The functional is PBE.

Calculated values
- mass density (g cm⁻³) = 8.41
- total DFT energy (no corrections) (eV/atom) = -8.636

a b c (Å): 5.7841 5.7841 11.2663
angles (deg): 90.00 90.00 90.00
With the nearest neighbours (Å) after each atom.
Space group I-4 (No. 82)
Inequivalent atoms, fractional coordinates:
Ba (0.0000, 0.0000, 0.0000) [2 per cell]  8 O 2.64-2.67
Ac (0.0000, 0.5000, 0.7500) [2 per cell]  8 O 2.57-2.58
Pa (0.0000, 0.0000, 0.5000) [2 per cell]  4 O 2.18
Pa (0.0000, 0.5000, 0.2500) [2 per cell]  4 O 2.18
O (0.2132, 0.2691, 0.3568) [8 per cell]  1 Pa 2.18
O (0.2162, 0.2174, 0.6126) [8 per cell]  1 Pa 2.18



This record from Alexandria describes a relaxed BaAc2PaO6 crystal. The functional is PBE.

Calculated values
- mass density (g cm⁻³) = 7.45
- total DFT energy (no corrections) (eV/atom) = -8.001

a b c (Å): 5.7737 5.7737 6.1372
angles (deg): 90.00 90.00 90.00
With the nearest neighbours (Å) after each atom.
Space group P4mm (No. 99)
Inequivalent atoms, fractional coordinates:
Ba (0.0000, 0.0000, 0.0000) [1 per cell]  5 O 2.51-2.61
Ac (0.0000, 0.5000, 0.4656) [2 per cell]  4 O 2.50
Pa (0.5000, 0.5000, 0.0619) [1 per cell]  5 O 2.15-2.17
O (0.0000, 0.0000, 0.5904) [1 per cell]  1 Ba 2.51
O (0.2686, 0.2686, 0.2304) [4 per cell]  1 Pa 2.15
O (0.5000, 0.5000, 0.7091) [1 per cell]  1 Pa 2.17



This record from Alexandria describes a relaxed Ba3Ac3PaO8 crystal. The functional is PBE.

Calculated values
- mass density (g cm⁻³) = 7.37
- total DFT energy (no corrections) (eV/atom) = -7.255

a b c (Å): 7.6707 7.6707 19.2693
angles (deg): 90.00 90.00 120.00
With the nearest neighbours (Å) after each atom.
Space group R-3m (No. 166, hexagonal axes)
Inequivalent atoms, fractional coordinates:
Ba (0.0000, 0.5000, 0.0000) [9 per cell]  6 O 2.94-2.95
Ac (0.0000, 0.5000, 0.5000) [9 per cell]  6 O 2.55-2.63
Pa (0.0000, 0.0000, 0.5000) [3 per cell]  6 O 2.24
O (0.0000, 0.0000, 0.2325) [6 per cell]  3 Ac 2.55
O (0.0430, 0.5215, 0.2255) [18 per cell]  1 Pa 2.24



This record from Alexandria describes a relaxed Ba4AcPa3O12 crystal. The functional is PBE.

Calculated values
- mass density (g cm⁻³) = 7.26
- total DFT energy (no corrections) (eV/atom) = -8.150

a b c (Å): 9.1258 9.1258 9.1258
angles (deg): 90.00 90.00 90.00
With the nearest neighbours (Å) after each atom.
Space group Im-3m (No. 229)
Inequivalent atoms, fractional coordinates:
Ba (0.2500, 0.2500, 0.2500) [8 per cell]  12 O 3.23
Ac (0.0000, 0.0000, 0.0000) [2 per cell]  6 O 2.41
Pa (0.0000, 0.0000, 0.5000) [6 per cell]  6 O 2.15-2.28
O (0.0000, 0.0000, 0.2644) [12 per cell]  1 Pa 2.15
O (0.0000, 0.2500, 0.5000) [12 per cell]  2 Pa 2.28



Computed values of uncorrected formation energy (unit: eV/f.u.) for the preceding records, in sequence: -18.56, -32.10, -26.62, -23.19, -31.96, -32.70, -38.94, -30.62, -41.56, -63.22.